Entry 1:
Here is an optimized crystal structure of LiHoSe2 from Alexandria via LeMat-Bulk. Energies are from PBE.

symmetry = No. 123
V = 92.0 Å³ per cell
formation energy without anion corrections = -6.4 eV per formula unit
uncorrected energy = -4.977 eV/atom

The structure in POSCAR format:
```
LiHoSe2
1.0
4.071 0.000 0.000
0.000 4.071 0.000
0.000 0.000 5.551
Li Ho Se
1 1 2
Cartesian
0.000 0.000 0.000
2.035 2.035 2.775
0.000 0.000 2.775
2.035 2.035 0.000
```

---

Entry 2:
Here is an optimized crystal structure of LiHoSe2 from Alexandria via LeMat-Bulk. Energies are from PBE.

symmetry = No. 160
V = 96.5 Å³ per cell
formation energy without anion corrections = -6.6 eV per formula unit
uncorrected energy = -5.009 eV/atom

The structure in POSCAR format:
```
LiHoSe2
1.0
2.012 1.162 6.882
-2.012 1.162 6.882
0.000 -2.323 6.882
Li Ho Se
1 1 2
Cartesian
0.000 0.000 0.000
0.000 0.000 17.037
0.000 0.000 4.908
0.000 0.000 8.477
```

---

Entry 3:
Here is an optimized crystal structure of LiHo4Se5 from Alexandria via LeMat-Bulk. Energies are from PBE.

symmetry = No. 79
V = 231.6 Å³ per cell
formation energy without anion corrections = -17.3 eV per formula unit
uncorrected energy = -5.494 eV/atom

The structure in POSCAR format:
```
LiHo4Se5
1.0
-4.509 4.509 2.847
4.509 -4.509 2.847
4.509 4.509 -2.847
Li Ho Se
1 4 5
Cartesian
0.000 0.000 0.000
5.408 1.801 -0.006
1.801 3.610 -0.006
2.709 0.899 2.842
-0.899 2.709 2.842
2.631 0.865 -0.006
3.644 -1.879 2.842
0.000 0.000 2.842
0.865 6.388 -0.006
1.879 3.644 2.842
```

---

Entry 4:
Here is an optimized crystal structure of LiSm3Ho3Se8 from Alexandria via LeMat-Bulk. Energies are from PBE.

symmetry = No. 166
V = 386.4 Å³ per cell
formation energy without anion corrections = -27.0 eV per formula unit
uncorrected energy = -5.643 eV/atom

The structure in POSCAR format:
```
LiSm3Ho3Se8
1.0
4.080 2.355 6.702
-4.080 2.355 6.702
0.000 -4.711 6.702
Li Sm Ho Se
1 3 3 8
Cartesian
0.000 0.000 0.000
-4.080 0.000 10.054
-2.040 1.178 3.351
2.040 1.178 3.351
-2.040 -1.178 6.702
-2.040 1.178 13.405
0.000 2.355 6.702
0.000 -2.360 8.312
-2.043 1.180 8.312
0.000 0.000 5.087
-2.043 -1.180 11.795
2.043 1.180 8.312
0.000 0.000 15.020
2.043 -1.180 11.795
0.000 2.360 11.795
```

---

Entry 5:
Here is an optimized crystal structure of LiSm4Ho3Se8 from Alexandria via LeMat-Bulk. Energies are from PBE.

symmetry = No. 166
V = 390.7 Å³ per cell
formation energy without anion corrections = -28.2 eV per formula unit
uncorrected energy = -5.664 eV/atom

The structure in POSCAR format:
```
LiSm4Ho3Se8
1.0
4.090 2.361 6.742
-4.090 2.361 6.742
0.000 -4.723 6.742
Li Sm Ho Se
1 4 3 8
Cartesian
0.000 0.000 0.000
-4.090 0.000 10.113
-2.045 1.181 3.371
2.045 1.181 3.371
0.000 0.000 10.113
-2.045 -1.181 6.742
-2.045 1.181 13.484
0.000 2.361 6.742
0.000 -2.406 8.325
-2.083 1.203 8.325
-2.083 -1.203 11.902
0.000 0.000 5.128
0.000 0.000 15.098
2.083 1.203 8.325
2.083 -1.203 11.902
0.000 2.406 11.902
```

---

Entry 6:
Here is an optimized crystal structure of LiSmHoSe3 from Alexandria via LeMat-Bulk. Energies are from PBE.

symmetry = No. 11
V = 286.8 Å³ per cell
formation energy without anion corrections = -9.9 eV per formula unit
uncorrected energy = -5.265 eV/atom

The structure in POSCAR format:
```
LiSmHoSe3
1.0
8.389 0.000 0.000
0.000 3.989 0.000
-1.970 0.000 8.571
Li Sm Ho Se
2 2 2 6
Cartesian
0.558 0.997 0.722
5.860 2.992 7.849
0.153 0.997 6.216
6.265 2.992 2.355
2.142 2.992 2.886
4.276 0.997 5.684
0.060 0.997 3.177
-0.089 2.992 8.555
2.276 2.992 5.771
4.142 0.997 2.799
6.507 0.997 0.016
6.359 2.992 5.394
```

---

Entry 7:
Here is an optimized crystal structure of LiSm2HoSe4 from Alexandria via LeMat-Bulk. Energies are from PBE.

symmetry = No. 10
V = 194.2 Å³ per cell
formation energy without anion corrections = -14.0 eV per formula unit
uncorrected energy = -5.486 eV/atom

The structure in POSCAR format:
```
LiSm2HoSe4
1.0
7.079 0.000 0.000
0.000 4.090 0.000
-2.349 0.000 6.707
Li Sm Ho Se
1 2 1 4
Cartesian
0.000 0.000 0.000
-1.174 2.045 3.354
2.365 0.000 3.354
3.539 2.045 0.000
1.161 2.045 1.580
-0.031 0.000 5.125
4.761 0.000 1.583
3.569 2.045 5.127
```

---

Entry 8:
Here is an optimized crystal structure of Li2SmHoSe4 from Alexandria via LeMat-Bulk. Energies are from PBE.

symmetry = No. 10
V = 189.9 Å³ per cell
formation energy without anion corrections = -13.5 eV per formula unit
uncorrected energy = -5.068 eV/atom

The structure in POSCAR format:
```
Li2SmHoSe4
1.0
6.924 0.000 0.000
0.000 4.105 0.000
-2.432 0.000 6.682
Li Sm Ho Se
2 1 1 4
Cartesian
0.000 0.000 0.000
-1.216 2.052 3.341
2.246 0.000 3.341
3.462 2.052 0.000
1.099 2.052 1.619
-0.128 0.000 5.041
4.619 0.000 1.641
3.393 2.052 5.063
```